The following is a PBE-GGA calculation of an optimized crystal structure of Ce2TmF11, from Alexandria.

Unit cell a=8.370 b=10.336 c=10.846 alpha=90.00 beta=90.00 gamma=90.00
Space group Ibam (No. 72)
Inequivalent atoms, fractional coordinates:
Ce 0.150 0.183 0.000
Tm 0.000 0.500 0.250
F 0.000 0.000 0.000
F 0.092 0.329 0.142
F 0.126 0.211 0.500
F 0.212 0.428 0.362

The calculation puts the uncorrected formation energy at -53.74 eV/f.u. The spin magnetization comes out at 0.0 μB per formula unit. The calculation puts the final energy at -0.47598 Ry per atom.

---

The following is a PBE-GGA calculation of an optimized crystal structure of CeTm2F8, from Alexandria.

Unit cell a=6.924 b=10.445 c=4.143 alpha=90.00 beta=100.77 gamma=90.00
Space group C2/m (No. 12)
Inequivalent atoms, fractional coordinates:
Ce 0.000 0.000 0.000
Tm 0.000 0.323 0.500
F 0.000 0.252 0.000
F 0.116 0.500 0.782
F 0.191 0.141 0.580

The calculation puts the uncorrected formation energy at -42.80 eV/f.u. The spin magnetization comes out at 2.0 μB per formula unit. The calculation puts the final energy at -0.48538 Ry per atom.

---

The following is a PBE-GGA calculation of an optimized crystal structure of CeU2F8, from Alexandria.

Unit cell a=3.942 b=6.853 c=11.179 alpha=90.00 beta=90.00 gamma=90.00
Space group Immm (No. 71)
Inequivalent atoms, fractional coordinates:
Ce 0.000 0.000 0.000
U 0.000 0.000 0.312
F 0.000 0.185 0.500
F 0.000 0.282 0.160
F 0.000 0.500 0.354

The calculation puts the uncorrected formation energy at -36.68 eV/f.u. The spin magnetization comes out at 8.0 μB per formula unit. The calculation puts the final energy at -0.53564 Ry per atom.

---

The following is a PBE-GGA calculation of an optimized crystal structure of CeU2F11, from Alexandria.

Unit cell a=8.494 b=10.591 c=11.370 alpha=90.00 beta=90.00 gamma=90.00
Space group Ibam (No. 72)
Inequivalent atoms, fractional coordinates:
Ce 0.000 0.000 0.250
U 0.148 0.318 0.000
F 0.000 0.500 0.000
F 0.093 0.178 0.139
F 0.128 0.285 0.500
F 0.222 0.073 0.364

The calculation puts the uncorrected formation energy at -52.10 eV/f.u. The spin magnetization comes out at 5.0 μB per formula unit. The calculation puts the final energy at -0.53126 Ry per atom.